Entry 1:
A geometry-optimized ZrTcHAu2 structure. Source: Alexandria via LeMat-Bulk, functional PBE.

Properties
For the raw total energy, the calculation gives -29.08 eV per cell.

a b c (Å): 4.2094 4.2094 4.1240
angles (deg): 90.00 90.00 90.00
Atoms (fractional coordinates):
1 Zr 0.0000 0.0000 0.0000
2 Tc 0.5000 0.5000 0.0000
3 H 0.5000 0.5000 0.5000
4 Au 0.0000 0.5000 0.5000
5 Au 0.5000 0.0000 0.5000

Entry 2:
A geometry-optimized Zr2TcHAu structure. Source: Alexandria via LeMat-Bulk, functional PBE.

Properties
For the raw total energy, the calculation gives -35.97 eV per cell.

a b c (Å): 4.5433 4.5433 3.7716
angles (deg): 90.00 90.00 90.00
Atoms (fractional coordinates):
1 Zr 0.0000 0.5000 0.0000
2 Zr 0.5000 0.0000 0.0000
3 Tc 0.0000 0.0000 0.5000
4 H 0.0000 0.0000 0.0000
5 Au 0.5000 0.5000 0.5000

Entry 3:
A geometry-optimized TeHAu3 structure. Source: Alexandria via LeMat-Bulk, functional PBE.

Properties
The calculation puts the offset from the most stable computed form at 0 meV/atom.

a b c (Å): 4.4010 4.4010 4.4010
angles (deg): 90.00 90.00 90.00
Atoms (fractional coordinates):
1 Te 0.0000 0.0000 0.0000
2 H 0.5000 0.5000 0.5000
3 Au 0.0000 0.5000 0.5000
4 Au 0.5000 0.0000 0.5000
5 Au 0.5000 0.5000 0.0000

Entry 4:
A geometry-optimized Te6HAu2 structure. Source: Alexandria via LeMat-Bulk, functional PBE.

Properties
For the raw total energy, the calculation gives -56.04 eV per cell.

a b c (Å): 7.1666 7.1666 11.9772
angles (deg): 93.75 93.75 81.02
Atoms (fractional coordinates):
1 Te 0.0315 0.8634 0.8642
2 Te 0.1178 0.5833 0.3372
3 Te 0.1366 0.9685 0.6358
4 Te 0.3064 0.5617 0.9025
5 Te 0.4167 0.8822 0.1628
6 Te 0.4383 0.6936 0.5975
7 Te 0.5617 0.3064 0.4025
8 Te 0.5833 0.1178 0.8372
9 Te 0.6936 0.4383 0.0975
10 Te 0.8634 0.0315 0.3642
11 Te 0.8822 0.4167 0.6628
12 Te 0.9685 0.1366 0.1358
13 H 0.2674 0.7326 0.2500
14 H 0.7326 0.2674 0.7500
15 Au 0.2324 0.2778 0.7564
16 Au 0.2778 0.2324 0.2564
17 Au 0.7222 0.7676 0.7436
18 Au 0.7676 0.7222 0.2436

Entry 5:
A geometry-optimized TeH2Au2 structure. Source: Alexandria via LeMat-Bulk, functional PBE.

Properties
The calculation puts the offset from the most stable computed form at 260 meV/atom.

a b c (Å): 7.1385 7.1385 7.1385
angles (deg): 152.83 152.83 38.81
Atoms (fractional coordinates):
1 Te 0.0000 0.0000 0.0000
2 H 0.2500 0.7500 0.5000
3 H 0.7500 0.2500 0.5000
4 Au 0.3318 0.3318 0.0000
5 Au 0.6682 0.6682 0.0000

Entry 6:
A geometry-optimized TeHAu3 structure. Source: Alexandria via LeMat-Bulk, functional PBE.

Properties
The calculation puts the offset from the most stable computed form at 473 meV/atom.

a b c (Å): 5.3336 5.3336 5.3336
angles (deg): 90.00 90.00 90.00
Atoms (fractional coordinates):
1 Te 0.0000 0.0000 0.0000
2 H 0.5000 0.5000 0.5000
3 Au 0.0000 0.0000 0.5000
4 Au 0.0000 0.5000 0.0000
5 Au 0.5000 0.0000 0.0000

Entry 7:
A geometry-optimized TeH2Au2 structure. Source: Alexandria via LeMat-Bulk, functional PBE.

Properties
The calculation puts the offset from the most stable computed form at 0 meV/atom.

a b c (Å): 4.0422 4.0621 6.5532
angles (deg): 72.31 72.13 61.95
Atoms (fractional coordinates):
1 Te 0.0000 0.0000 0.0000
2 H 0.2396 0.7636 0.4990
3 H 0.7604 0.2364 0.5010
4 Au 0.4482 0.4504 0.7280
5 Au 0.5518 0.5496 0.2720

Entry 8:
A geometry-optimized Tl2Te2HAu structure. Source: Alexandria via LeMat-Bulk, functional PBE.

Properties
For the raw total energy, the calculation gives -33.86 eV per cell.

a b c (Å): 9.3789 9.3789 9.3789
angles (deg): 139.55 54.89 144.51
Atoms (fractional coordinates):
1 Tl 0.1806 0.1843 0.3649
2 Tl 0.3194 0.6843 0.0038
3 Tl 0.6806 0.3157 0.9962
4 Tl 0.8194 0.8157 0.6351
5 Te 0.0901 0.6910 0.7810
6 Te 0.4099 0.1910 0.6009
7 Te 0.5901 0.8090 0.3991
8 Te 0.9099 0.3090 0.2190
9 H 0.2500 0.7500 0.5000
10 H 0.7500 0.2500 0.5000
11 Au 0.2500 0.2500 0.0000
12 Au 0.7500 0.7500 0.0000

Entry 9:
A geometry-optimized Tl2TeHAu structure. Source: Alexandria via LeMat-Bulk, functional PBE.

Properties
For the raw total energy, the calculation gives -14.66 eV per cell.

a b c (Å): 6.0125 6.0125 3.5359
angles (deg): 90.00 90.00 90.00
Atoms (fractional coordinates):
1 Tl 0.0000 0.5000 0.0000
2 Tl 0.5000 0.0000 0.0000
3 Te 0.0000 0.0000 0.5000
4 H 0.5000 0.5000 0.5000
5 Au 0.5000 0.5000 0.0000

Entry 10:
A geometry-optimized Th2H2Au3 structure. Source: Alexandria via LeMat-Bulk, functional PBE.

Properties
For the raw total energy, the calculation gives -35.45 eV per cell.

a b c (Å): 5.1697 5.1697 7.5376
angles (deg): 108.82 108.82 44.33
Atoms (fractional coordinates):
1 Th 0.1432 0.1432 0.2717
2 Th 0.8568 0.8568 0.7283
3 H 0.2367 0.2367 0.5953
4 H 0.7633 0.7633 0.4047
5 Au 0.3750 0.3750 0.0693
6 Au 0.5000 0.5000 0.5000
7 Au 0.6250 0.6250 0.9307

Entry 11:
A geometry-optimized Th2H2Au structure. Source: Alexandria via LeMat-Bulk, functional PBE.

Properties
The calculation puts the offset from the most stable computed form at 0 meV/atom.

a b c (Å): 6.2032 6.2077 6.2097
angles (deg): 104.74 118.50 105.52
Atoms (fractional coordinates):
1 Th 0.1675 0.3262 0.1553
2 Th 0.3307 0.9878 0.6583
3 Th 0.6693 0.0122 0.3417
4 Th 0.8325 0.6738 0.8447
5 H 0.2459 0.7438 0.2414
6 H 0.2553 0.9949 0.9984
7 H 0.7447 0.0051 0.0016
8 H 0.7541 0.2562 0.7586
9 Au 0.2507 0.4837 0.7323
10 Au 0.7493 0.5163 0.2677

Entry 12:
A geometry-optimized Th2HAu structure. Source: Alexandria via LeMat-Bulk, functional PBE.

Properties
The calculation puts the offset from the most stable computed form at 99 meV/atom.

a b c (Å): 7.6298 7.6298 7.6298
angles (deg): 28.72 28.72 28.72
Atoms (fractional coordinates):
1 Th 0.0000 0.0000 0.0000
2 Th 0.2004 0.2004 0.2004
3 H 0.5978 0.5978 0.5978
4 Au 0.4348 0.4348 0.4348